Density functional theory data (PBE-GGA) for a geometry-optimized HgOs2 structure.

Cell lengths 4.3518, 4.3518, 6.3396 Å; angles 90.00, 90.00, 120.00 degrees
Last column: nearest neighbours and their distance in Å.
Fractional coordinates of all 6 atoms:
Hg 0.0000 0.0000 0.2500  12 Os 2.83-3.13
Hg 0.0000 0.0000 0.7500  12 Os 2.83-3.13
Os 0.3333 0.6667 0.0457  4 Os 2.58-2.59, 3 Hg 2.83
Os 0.3333 0.6667 0.4543  4 Os 2.58-2.59, 3 Hg 2.83
Os 0.6667 0.3333 0.5457  4 Os 2.58-2.59, 3 Hg 2.83
Os 0.6667 0.3333 0.9543  4 Os 2.58-2.59, 3 Hg 2.83

Values from the calculation:
Energy of formation from the pure elements, kJ/mol of formula units: 250
Raw total energy, eV for the cell shown: -40.34
Energy relative to the lowest polymorph listed for this composition, eV/atom: 0.4688
SG: P6_3/mmc (194)
Volume, Å³/cell: 104.0

=====

Density functional theory data (PBE-GGA) for a geometry-optimized Al3RuS structure.

Cell lengths 4.4634, 4.4634, 4.4634 Å; angles 90.00, 90.00, 90.00 degrees
Last column: nearest neighbours and their distance in Å.
Fractional coordinates of all 5 atoms:
Al 0.0000 0.0000 0.5000  2 S 2.23
Al 0.0000 0.5000 0.0000  2 S 2.23
Al 0.5000 0.0000 0.0000  2 S 2.23
Ru 0.5000 0.5000 0.5000  12 Al 3.16
S 0.0000 0.0000 0.0000  6 Al 2.23

Values from the calculation:
Raw total energy, eV for the cell shown: -21.16
Energy relative to the lowest polymorph listed for this composition, eV/atom: 0.5760
SG: Pm-3m (221)
Volume, Å³/cell: 88.9

=====

Density functional theory data (PBE-GGA) for a geometry-optimized SrTa2Nb structure.

Cell lengths 4.9440, 4.9440, 4.9440 Å; angles 60.00, 60.00, 60.00 degrees
Last column: nearest neighbours and their distance in Å.
Fractional coordinates of all 4 atoms:
Sr 0.0000 0.0000 0.0000  8 Ta 3.03
Ta 0.2500 0.2500 0.2500  4 Nb 3.03, 4 Sr 3.03
Ta 0.7500 0.7500 0.7500  4 Nb 3.03, 4 Sr 3.03
Nb 0.5000 0.5000 0.5000  8 Ta 3.03

Values from the calculation:
Energy of formation from the pure elements, kJ/mol of formula units: 386
Raw total energy, eV for the cell shown: -31.46
Energy relative to the lowest polymorph listed for this composition, eV/atom: 0.0000
SG: Fm-3m (225)
Volume, Å³/cell: 85.5

=====

Density functional theory data (PBE-GGA) for a geometry-optimized PmNd3Au7 structure.

Cell lengths 11.4674, 11.4674, 12.8164 Å; angles 90.00, 90.00, 160.67 degrees
Last column: nearest neighbours and their distance in Å.
Fractional coordinates of all 22 atoms:
Pm 0.0038 0.9962 0.7500  10 Au 3.07-3.38
Pm 0.9962 0.0038 0.2500  10 Au 3.07-3.38
Nd 0.1425 0.8575 0.0593  9 Au 3.06-3.30
Nd 0.1425 0.8575 0.4407  9 Au 3.06-3.30
Nd 0.1865 0.8135 0.7500  8 Au 3.12-3.17
Nd 0.8135 0.1865 0.2500  8 Au 3.12-3.17
Nd 0.8575 0.1425 0.5593  9 Au 3.06-3.30
Nd 0.8575 0.1425 0.9407  9 Au 3.06-3.30
Au 0.2786 0.7214 0.0689  3 Au 2.91-2.94, 5 Nd 3.08-3.12
Au 0.2786 0.7214 0.4311  3 Au 2.91-2.94, 5 Nd 3.08-3.12
Au 0.3810 0.6190 0.7500  2 Au 2.86, 4 Nd 3.16
Au 0.4033 0.5967 0.1340  4 Au 2.94-3.12, 2 Nd 3.17, 2 Pm 3.21
Au 0.4033 0.5967 0.3660  4 Au 2.94-3.12, 2 Nd 3.17, 2 Pm 3.21
Au 0.4623 0.5377 0.5787  2 Au 2.64-2.86
Au 0.4623 0.5377 0.9213  2 Au 2.64-2.86
Au 0.5377 0.4623 0.0787  2 Au 2.64-2.86
Au 0.5377 0.4623 0.4213  2 Au 2.64-2.86
Au 0.5967 0.4033 0.6340  4 Au 2.94-3.12, 2 Nd 3.17, 2 Pm 3.21
Au 0.5967 0.4033 0.8660  4 Au 2.94-3.12, 2 Nd 3.17, 2 Pm 3.21
Au 0.6190 0.3810 0.2500  2 Au 2.86, 4 Nd 3.16
Au 0.7214 0.2786 0.5689  3 Au 2.91-2.94, 5 Nd 3.08-3.12
Au 0.7214 0.2786 0.9311  3 Au 2.91-2.94, 5 Nd 3.08-3.12

Values from the calculation:
Energy of formation from the pure elements, kJ/mol of formula units: -747
Raw total energy, eV for the cell shown: -99.47
SG: Cmcm (63)
Volume, Å³/cell: 557.8

=====

Density functional theory data (PBE-GGA) for a geometry-optimized Nd2TmMg structure.

Cell lengths 5.5872, 5.5872, 5.5872 Å; angles 60.00, 60.00, 60.00 degrees
Last column: nearest neighbours and their distance in Å.
Fractional coordinates of all 4 atoms:
Nd 0.2500 0.2500 0.2500  4 Mg 3.42, 4 Tm 3.42
Nd 0.7500 0.7500 0.7500  4 Mg 3.42, 4 Tm 3.42
Tm 0.0000 0.0000 0.0000  8 Nd 3.42
Mg 0.5000 0.5000 0.5000  8 Nd 3.42

Values from the calculation:
Energy of formation from the pure elements, kJ/mol of formula units: 3
Raw total energy, eV for the cell shown: -15.57
Energy relative to the lowest polymorph listed for this composition, eV/atom: 0.0352
SG: Fm-3m (225)
Volume, Å³/cell: 123.3

=====

Density functional theory data (PBE-GGA) for a geometry-optimized Ti5SiGe2 structure.

Cell lengths 7.4501, 7.4501, 7.4501 Å; angles 127.02, 127.02, 78.22 degrees
Last column: nearest neighbours and their distance in Å.
Fractional coordinates of all 16 atoms:
Ti 0.0000 0.0000 0.0000  4 Ge 2.58
Ti 0.0052 0.5052 0.8213  3 Ge 2.61-2.68, 2 Si 2.72, 1 Ti 2.76
Ti 0.1840 0.0052 0.5000  3 Ge 2.61-2.68, 2 Si 2.72, 1 Ti 2.76
Ti 0.3160 0.8160 0.8213  3 Ge 2.61-2.68, 2 Si 2.72, 1 Ti 2.76
Ti 0.4948 0.3160 0.5000  3 Ge 2.61-2.68, 2 Si 2.72, 1 Ti 2.76
Ti 0.5000 0.5000 0.0000  4 Ge 2.58
Ti 0.5052 0.6840 0.5000  3 Ge 2.61-2.68, 2 Si 2.72, 1 Ti 2.76
Ti 0.6840 0.1840 0.1787  3 Ge 2.61-2.68, 2 Si 2.72, 1 Ti 2.76
Ti 0.8160 0.9948 0.5000  3 Ge 2.61-2.68, 2 Si 2.72, 1 Ti 2.76
Ti 0.9948 0.4948 0.1787  3 Ge 2.61-2.68, 2 Si 2.72, 1 Ti 2.76
Si 0.2500 0.2500 0.0000  10 Ti 2.72-2.89
Si 0.7500 0.7500 0.0000  10 Ti 2.72-2.89
Ge 0.1380 0.3620 0.5000  8 Ti 2.58-2.68, 1 Ge 2.59
Ge 0.3620 0.8620 0.2241  8 Ti 2.58-2.68, 1 Ge 2.59
Ge 0.6380 0.1380 0.7759  8 Ti 2.58-2.68, 1 Ge 2.59
Ge 0.8620 0.6380 0.5000  8 Ti 2.58-2.68, 1 Ge 2.59

Values from the calculation:
Raw total energy, eV for the cell shown: -118.42
SG: I4/mcm (140)
Volume, Å³/cell: 255.4

=====

Density functional theory data (PBE-GGA) for a geometry-optimized LiEr2Pb3 structure.

Cell lengths 8.5981, 8.5981, 6.4405 Å; angles 90.00, 90.00, 42.96 degrees
Last column: nearest neighbours and their distance in Å.
Fractional coordinates of all 12 atoms:
Li 0.0000 0.0000 0.0000  6 Pb 3.06-3.15, 2 Li 3.22
Li 0.0000 0.0000 0.5000  6 Pb 3.06-3.15, 2 Li 3.22
Er 0.1279 0.5480 0.7500  7 Pb 3.10-3.33
Er 0.4520 0.8721 0.7500  7 Pb 3.10-3.33
Er 0.5480 0.1279 0.2500  7 Pb 3.10-3.33
Er 0.8721 0.4520 0.2500  7 Pb 3.10-3.33
Pb 0.0565 0.6578 0.2500  2 Li 3.06, 5 Er 3.10-3.28, 2 Pb 3.38
Pb 0.3422 0.9435 0.2500  2 Li 3.06, 5 Er 3.10-3.28, 2 Pb 3.38
Pb 0.5000 0.5000 0.0000  2 Li 3.15, 6 Pb 3.22-3.38, 4 Er 3.33
Pb 0.5000 0.5000 0.5000  2 Li 3.15, 6 Pb 3.22-3.38, 4 Er 3.33
Pb 0.6578 0.0565 0.7500  2 Li 3.06, 5 Er 3.10-3.28, 2 Pb 3.38
Pb 0.9435 0.3422 0.7500  2 Li 3.06, 5 Er 3.10-3.28, 2 Pb 3.38

Values from the calculation:
Energy of formation from the pure elements, kJ/mol of formula units: -200
Raw total energy, eV for the cell shown: -48.47
Energy relative to the lowest polymorph listed for this composition, eV/atom: 0.0115
SG: Cmcm (63)
Volume, Å³/cell: 324.5

=====

Density functional theory data (PBE-GGA) for a geometry-optimized Tl3BBr structure.

Cell lengths 5.1453, 5.1453, 5.1453 Å; angles 90.00, 90.00, 90.00 degrees
Last column: nearest neighbours and their distance in Å.
Fractional coordinates of all 5 atoms:
Tl 0.0000 0.0000 0.5000  2 B 2.57
Tl 0.0000 0.5000 0.0000  2 B 2.57
Tl 0.5000 0.0000 0.0000  2 B 2.57
B 0.0000 0.0000 0.0000  6 Tl 2.57
Br 0.5000 0.5000 0.5000  12 Tl 3.64

Values from the calculation:
Raw total energy, eV for the cell shown: -13.97
Energy relative to the lowest polymorph listed for this composition, eV/atom: 0.0000
SG: Pm-3m (221)
Volume, Å³/cell: 136.2

=====

Density functional theory data (PBE-GGA) for a geometry-optimized ErThZr2N4 structure.

Cell lengths 5.8816, 3.3772, 5.9314 Å; angles 90.00, 109.13, 90.00 degrees
Last column: nearest neighbours and their distance in Å.
Fractional coordinates of all 8 atoms:
Er 0.0000 0.0000 0.0000  6 N 2.44-2.45
Th 0.5000 0.5000 0.0000  6 N 2.48-2.50
Zr 0.0000 0.5000 0.5000  6 N 2.32-2.33
Zr 0.5000 0.0000 0.5000  6 N 2.37-2.38
N 0.2348 0.0000 0.7280  3 Zr 2.32-2.38, 1 Er 2.44, 2 Th 2.50
N 0.2501 0.5000 0.2658  3 Zr 2.33-2.37, 2 Er 2.45, 1 Th 2.48
N 0.7499 0.5000 0.7342  3 Zr 2.33-2.37, 2 Er 2.45, 1 Th 2.48
N 0.7652 0.0000 0.2720  3 Zr 2.32-2.38, 1 Er 2.44, 2 Th 2.50

Values from the calculation:
Raw total energy, eV for the cell shown: -75.60
SG: P2/m (10)
Volume, Å³/cell: 111.3

=====

Density functional theory data (PBE-GGA) for a geometry-optimized Mg3Zr structure.

Cell lengths 3.2020, 3.2020, 8.7052 Å; angles 90.00, 90.00, 90.00 degrees
Last column: nearest neighbours and their distance in Å.
Fractional coordinates of all 4 atoms:
Mg 0.0000 0.0000 0.0000  12 Mg 3.13-3.20
Mg 0.5000 0.5000 0.2491  8 Mg 3.13-3.20, 4 Zr 3.15
Mg 0.5000 0.5000 0.7509  8 Mg 3.13-3.20, 4 Zr 3.15
Zr 0.0000 0.0000 0.5000  8 Mg 3.15, 4 Zr 3.20

Values from the calculation:
Energy of formation from the pure elements, kJ/mol of formula units: 0
Raw total energy, eV for the cell shown: -13.33
SG: P4/mmm (123)
Volume, Å³/cell: 89.3

=====

Density functional theory data (PBE-GGA) for a geometry-optimized Sr2TaZn structure.

Cell lengths 5.8927, 5.8927, 3.3727 Å; angles 90.00, 90.00, 90.00 degrees
Last column: nearest neighbours and their distance in Å.
Fractional coordinates of all 4 atoms:
Sr 0.0000 0.5000 0.0000  2 Sr 3.37, 4 Ta 3.39, 4 Zn 3.39
Sr 0.5000 0.0000 0.0000  2 Sr 3.37, 4 Ta 3.39, 4 Zn 3.39
Ta 0.0000 0.0000 0.5000  2 Ta 3.37, 8 Sr 3.39
Zn 0.5000 0.5000 0.5000  2 Zn 3.37, 8 Sr 3.39

Values from the calculation:
Energy of formation from the pure elements, kJ/mol of formula units: 295
Raw total energy, eV for the cell shown: -13.43
SG: P4/mmm (123)
Volume, Å³/cell: 117.1

=====

Density functional theory data (PBE-GGA) for a geometry-optimized Ba2NaTl5Pd2 structure.

Cell lengths 11.3199, 11.3199, 4.5189 Å; angles 90.00, 90.00, 90.00 degrees
Last column: nearest neighbours and their distance in Å.
Fractional coordinates of all 20 atoms:
Ba 0.1788 0.3212 0.0000  3 Pd 3.27-3.42, 2 Tl 3.65
Ba 0.3212 0.8212 0.0000  3 Pd 3.27-3.42, 2 Tl 3.65
Ba 0.6788 0.1788 0.0000  3 Pd 3.27-3.42, 2 Tl 3.65
Ba 0.8212 0.6788 0.0000  3 Pd 3.27-3.42, 2 Tl 3.65
Na 0.0000 0.0000 0.0000  8 Tl 3.39
Na 0.5000 0.5000 0.0000  8 Tl 3.39
Tl 0.0000 0.5000 0.5000  4 Pd 2.93
Tl 0.0657 0.7863 0.5000  2 Pd 3.02, 1 Tl 3.32
Tl 0.2137 0.0657 0.5000  2 Pd 3.02, 1 Tl 3.32
Tl 0.2863 0.5657 0.5000  2 Pd 3.02, 1 Tl 3.32
Tl 0.4343 0.2863 0.5000  2 Pd 3.02, 1 Tl 3.32
Tl 0.5000 0.0000 0.5000  4 Pd 2.93
Tl 0.5657 0.7137 0.5000  2 Pd 3.02, 1 Tl 3.32
Tl 0.7137 0.4343 0.5000  2 Pd 3.02, 1 Tl 3.32
Tl 0.7863 0.9343 0.5000  2 Pd 3.02, 1 Tl 3.32
Tl 0.9343 0.2137 0.5000  2 Pd 3.02, 1 Tl 3.32
Pd 0.1170 0.6170 0.0000  6 Tl 2.93-3.02, 1 Ba 3.27
Pd 0.3830 0.1170 0.0000  6 Tl 2.93-3.02, 1 Ba 3.27
Pd 0.6170 0.8830 0.0000  6 Tl 2.93-3.02, 1 Ba 3.27
Pd 0.8830 0.3830 0.0000  6 Tl 2.93-3.02, 1 Ba 3.27

Values from the calculation:
Energy of formation from the pure elements, kJ/mol of formula units: -316
Raw total energy, eV for the cell shown: -61.32
SG: P4/mbm (127)
Volume, Å³/cell: 579.1

=====

What is the formula in the tenth record? Mg3Zr